Here is an optimized crystal structure of CsHoZnF6 from Alexandria via LeMat-Bulk. Energies are from PBE.

Geometry as POSCAR:
```
CsHoZnF6
1.0
-3.848 4.063 5.546
3.848 -4.063 5.546
3.848 4.063 -5.546
Cs Ho Zn F
2 2 2 12
direct
0.326 0.076 0.250
0.674 0.924 0.750
0.000 0.500 0.500
0.500 0.500 0.000
0.000 0.000 0.500
0.000 0.500 0.000
0.050 0.800 0.250
0.052 0.409 0.222
0.052 0.829 0.643
0.313 0.171 0.722
0.313 0.591 0.143
0.327 0.577 0.750
0.673 0.423 0.250
0.687 0.409 0.857
0.687 0.829 0.278
0.948 0.171 0.357
0.948 0.591 0.778
0.950 0.200 0.750
```

Calculated values
formation energy (no corrections)	-3.25	eV per atom
D(E_F)	0.0	states/eV per cell

=====

Here is an optimized crystal structure of Cs3I2F from Alexandria via LeMat-Bulk. Energies are from PBE.

Geometry as POSCAR:
```
Cs3I2F
1.0
2.446 -13.331 0.000
2.446 13.331 0.000
0.000 0.000 8.860
Cs I F
6 4 2
direct
0.086 0.914 0.505
0.086 0.914 0.995
0.292 0.708 0.750
0.708 0.292 0.250
0.914 0.086 0.005
0.914 0.086 0.495
0.326 0.674 0.250
0.494 0.506 0.750
0.506 0.494 0.250
0.674 0.326 0.750
0.151 0.849 0.250
0.849 0.151 0.750
```

Calculated values
formation energy (no corrections)	-1.90	eV per atom
E above lowest polymorph	0	meV per atom
D(E_F)	0.0	states/eV per cell

=====

Here is an optimized crystal structure of Cs5I2F2 from Alexandria via LeMat-Bulk. Energies are from PBE.

Geometry as POSCAR:
```
Cs5I2F2
1.0
8.273 -3.039 0.000
8.273 3.039 0.000
-2.547 0.000 9.144
Cs I F
5 2 2
direct
0.000 0.000 0.000
0.151 0.151 0.579
0.333 0.333 0.076
0.667 0.667 0.924
0.849 0.849 0.421
0.416 0.416 0.726
0.584 0.584 0.274
0.160 0.160 0.890
0.840 0.840 0.110
```

Calculated values
formation energy (no corrections)	-1.78	eV per atom
D(E_F)	2.3	states/eV per cell

=====

Here is an optimized crystal structure of Cs6IF12 from Alexandria via LeMat-Bulk. Energies are from PBE.

Geometry as POSCAR:
```
Cs6IF12
1.0
6.409 3.700 4.006
-6.409 3.700 4.006
0.000 -7.401 4.006
Cs I F
6 1 12
direct
0.092 0.832 0.648
0.168 0.352 0.908
0.352 0.908 0.168
0.648 0.092 0.832
0.832 0.648 0.092
0.908 0.168 0.352
0.500 0.500 0.500
0.084 0.894 0.328
0.106 0.672 0.916
0.264 0.430 0.517
0.328 0.084 0.894
0.430 0.517 0.264
0.483 0.736 0.570
0.517 0.264 0.430
0.570 0.483 0.736
0.672 0.916 0.106
0.736 0.570 0.483
0.894 0.328 0.084
0.916 0.106 0.672
```

Calculated values
formation energy (no corrections)	-2.25	eV per atom
D(E_F)	9.2	states/eV per cell

=====

Here is an optimized crystal structure of CsIF3 from Alexandria via LeMat-Bulk. Energies are from PBE.

Geometry as POSCAR:
```
CsIF3
1.0
5.113 0.000 0.000
0.000 5.113 0.000
0.000 0.000 5.113
Cs I F
1 1 3
direct
0.000 0.000 0.000
0.500 0.500 0.500
0.000 0.000 0.500
0.000 0.500 0.000
0.500 0.000 0.000
```

Calculated values
formation energy (no corrections)	-0.81	eV per atom
E above lowest polymorph	1031	meV per atom
D(E_F)	10.0	states/eV per cell

=====

Here is an optimized crystal structure of Cs4IF2 from Alexandria via LeMat-Bulk. Energies are from PBE.

Geometry as POSCAR:
```
Cs4IF2
1.0
-3.570 3.570 8.535
3.570 -3.570 8.535
3.570 3.570 -8.535
Cs I F
4 1 2
direct
0.000 0.500 0.500
0.249 0.249 0.000
0.500 0.000 0.500
0.751 0.751 0.000
0.000 0.000 0.000
0.398 0.398 0.000
0.602 0.602 0.000
```

Calculated values
formation energy (no corrections)	-1.67	eV per atom
D(E_F)	1.7	states/eV per cell